# Dy3Ho4Tm3

Crystalline Dy3Ho4Tm3 at its relaxed geometry (PBE-GGA, the Alexandria database).

a = 3.6600 Å, b = 9.2066 Å, c = 9.2066 Å
α = 90.05°, β = 90.00°, γ = 90.00°
Atoms (fractional coordinates):
1 Dy 0.5000 0.6715 0.6719
2 Dy 0.5000 0.8285 0.1715
3 Dy 0.5000 0.3281 0.3285
4 Tm 0.5000 0.1717 0.8283
5 Tm 0.0000 0.4982 0.9992
6 Tm 0.0000 0.0008 0.5018
7 Ho 0.0000 0.6272 0.3728
8 Ho 0.0000 0.1276 0.1260
9 Ho 0.0000 0.8740 0.8724
10 Ho 0.0000 0.3725 0.6275

Properties
Density: 8.85 Mg/m³
Total magnetization: 0.00 μB per atom
E: -4.45 eV per atom
SG: Amm2 (38)


# DyHo15Tm4

Crystalline DyHo15Tm4 at its relaxed geometry (PBE-GGA, the Alexandria database).

a = 4.9629 Å, b = 4.9629 Å, c = 24.8078 Å
α = 90.00°, β = 90.00°, γ = 90.00°
Atoms (fractional coordinates):
1 Ho 0.0000 0.5000 0.5000
2 Ho 0.5000 0.0000 0.1004
3 Ho 0.5000 0.5000 0.2004
4 Ho 0.5000 0.0000 0.3001
5 Ho 0.5000 0.5000 0.0000
6 Ho 0.5000 0.0000 0.8996
7 Ho 0.5000 0.0000 0.6999
8 Ho 0.0000 0.5000 0.6999
9 Ho 0.0000 0.5000 0.8996
10 Ho 0.0000 0.5000 0.3001
11 Ho 0.0000 0.5000 0.1004
12 Ho 0.5000 0.5000 0.6000
13 Ho 0.5000 0.5000 0.4000
14 Ho 0.5000 0.5000 0.7996
15 Ho 0.5000 0.0000 0.5000
16 Dy 0.0000 0.0000 0.0000
17 Tm 0.0000 0.0000 0.5999
18 Tm 0.0000 0.0000 0.7998
19 Tm 0.0000 0.0000 0.2002
20 Tm 0.0000 0.0000 0.4001

Properties
Density: 9.00 Mg/m³
Total magnetization: 0.00 μB per atom
E: -4.54 eV per atom
SG: P4/mmm (123)


# Dy2Ho3Tm6

Crystalline Dy2Ho3Tm6 at its relaxed geometry (PBE-GGA, the Alexandria database).

a = 3.5040 Å, b = 3.5040 Å, c = 31.4030 Å
α = 86.80°, β = 86.80°, γ = 60.00°
Atoms (fractional coordinates):
1 Tm 0.1817 0.1817 0.4550
2 Tm 0.8183 0.8183 0.5450
3 Tm 0.9091 0.9091 0.2728
4 Tm 0.0909 0.0909 0.7272
5 Tm 0.6363 0.6363 0.0910
6 Tm 0.3637 0.3637 0.9090
7 Ho 0.2727 0.2727 0.1819
8 Ho 0.0000 0.0000 0.0000
9 Ho 0.7273 0.7273 0.8181
10 Dy 0.5454 0.5454 0.3639
11 Dy 0.4546 0.4546 0.6361

Properties
Density: 9.14 Mg/m³
Total magnetization: 0.00 μB per atom
E: -4.50 eV per atom
Energy above the most stable polymorph in this dataset: 0.00 eV/f.u.
SG: R-3m (166)


# Dy2Ho4Tm5

Crystalline Dy2Ho4Tm5 at its relaxed geometry (PBE-GGA, the Alexandria database).

a = 3.4846 Å, b = 8.4328 Å, c = 14.0102 Å
α = 122.19°, β = 97.14°, γ = 90.00°
Atoms (fractional coordinates):
1 Ho 0.9607 0.2632 0.9214
2 Ho 0.4119 0.5154 0.8237
3 Ho 0.0393 0.7368 0.0786
4 Ho 0.5881 0.4846 0.1763
5 Dy 0.2761 0.3807 0.5523
6 Dy 0.7239 0.6193 0.4477
7 Tm 0.5000 0.0000 0.0000
8 Tm 0.1298 0.2133 0.2596
9 Tm 0.8702 0.7867 0.7404
10 Tm 0.8146 0.1018 0.6293
11 Tm 0.1854 0.8982 0.3707

Properties
Density: 8.81 Mg/m³
Total magnetization: 0.00 μB per atom
E: -4.43 eV per atom
Energy above the most stable polymorph in this dataset: 0.04 eV/f.u.
SG: C2/m (12)


# Dy8HoTm2

Crystalline Dy8HoTm2 at its relaxed geometry (PBE-GGA, the Alexandria database).

a = 6.5746 Å, b = 10.0872 Å, c = 10.0872 Å
α = 38.09°, β = 59.66°, γ = 59.66°
Atoms (fractional coordinates):
1 Dy 0.2283 0.8259 0.3507
2 Dy 0.7717 0.1741 0.6493
3 Dy 0.2283 0.3507 0.8259
4 Dy 0.2735 0.4098 0.4098
5 Dy 0.1744 0.7561 0.7561
6 Dy 0.8256 0.2439 0.2439
7 Dy 0.7717 0.6493 0.1741
8 Dy 0.7265 0.5902 0.5902
9 Tm 0.6020 0.7981 0.7981
10 Tm 0.3980 0.2019 0.2019
11 Ho 0.0000 0.0000 0.0000

Properties
Density: 8.58 Mg/m³
Total magnetization: 0.00 μB per atom
E: -4.39 eV per atom
Energy above the most stable polymorph in this dataset: 1.78 eV/f.u.
SG: C2/m (12)


# DyHo8Tm6

Crystalline DyHo8Tm6 at its relaxed geometry (PBE-GGA, the Alexandria database).

a = 8.9054 Å, b = 8.9054 Å, c = 8.5073 Å
α = 58.44°, β = 58.44°, γ = 60.00°
Atoms (fractional coordinates):
1 Ho 0.2558 0.2798 0.5742
2 Ho 0.1098 0.7442 0.4258
3 Ho 0.2798 0.8902 0.5742
4 Ho 0.8902 0.2558 0.5742
5 Ho 0.7442 0.7202 0.4258
6 Ho 0.7202 0.1098 0.4258
7 Ho 0.4234 0.4234 0.7297
8 Ho 0.5766 0.5766 0.2703
9 Tm 0.4597 0.8910 0.8798
10 Tm 0.1090 0.2305 0.1202
11 Tm 0.5403 0.1090 0.1202
12 Tm 0.8910 0.7695 0.8798
13 Tm 0.7695 0.4597 0.8798
14 Tm 0.2305 0.5403 0.1202
15 Dy 0.0000 0.0000 0.0000

Properties
Density: 8.90 Mg/m³
Total magnetization: 0.00 μB per atom
E: -4.40 eV per atom
Energy above the most stable polymorph in this dataset: 1.77 eV/f.u.
SG: R-3 (148)